[1]
VASP calculation (PBE) on a relaxed structure of Er8Th2Mg.

Results
- formation energy from the elements (kJ/mol of atoms) = 17
- total moment (μB per cell) = 0.001
- SG = No. 12

a = 6.5629 Å, b = 9.9359 Å, c = 9.9359 Å
α = 38.28°, β = 60.30°, γ = 60.30°
With the nearest neighbours (Å) after each atom.
Fractional positions:
Mg 0.0000 0.0000 0.0000  4 Er 3.15
Er 0.8284 0.2472 0.2472  5 Er 3.27-3.40, 4 Th 3.34-3.56
Er 0.2254 0.3427 0.8235  5 Er 3.13-3.40, 1 Mg 3.15, 1 Th 3.38
Er 0.7746 0.6573 0.1765  5 Er 3.13-3.40, 1 Mg 3.15, 1 Th 3.38
Er 0.2254 0.8235 0.3427  5 Er 3.13-3.40, 1 Mg 3.15, 1 Th 3.38
Er 0.2731 0.4060 0.4060  6 Er 3.28-3.54, 1 Th 3.61
Er 0.1716 0.7528 0.7528  5 Er 3.27-3.40, 4 Th 3.34-3.56
Er 0.7746 0.1765 0.6573  5 Er 3.13-3.40, 1 Mg 3.15, 1 Th 3.38
Er 0.7269 0.5940 0.5940  6 Er 3.28-3.54, 1 Th 3.61
Th 0.5779 0.8086 0.8086  7 Er 3.34-3.61, 1 Mg 3.61
Th 0.4221 0.1914 0.1914  7 Er 3.34-3.61, 1 Mg 3.61

***

[2]
VASP calculation (PBE) on a relaxed structure of Cd2HgSbI.

Results
- total moment (μB per cell) = 0.000
- SG = No. 123
- formation energy (no corrections) (eV/atom) = 0.00

a = 5.6870 Å, b = 5.6870 Å, c = 5.7488 Å
α = 90.00°, β = 90.00°, γ = 90.00°
With the nearest neighbours (Å) after each atom.
Fractional positions:
I 0.5000 0.5000 0.5000  4 Hg 4.02, 8 Cd 4.04
Cd 0.0000 0.5000 0.0000  2 Sb 2.84
Cd 0.5000 0.0000 0.0000  2 Sb 2.84
Hg 0.0000 0.0000 0.5000  2 Sb 2.87
Sb 0.0000 0.0000 0.0000  4 Cd 2.84, 2 Hg 2.87